1.
Crystalline LiCaZn2 at its relaxed geometry. Source: the Alexandria database, functional PBE.

Summary:
Formation energy from the elements in kcal/mol of atoms: 0.68

Cell lengths 9.7761, 9.7761, 9.7761 Å; angles 152.60, 152.60, 39.13 degrees
Last column: nearest neighbours and their distance in Å.
Sites, in units of the cell vectors:
Li  0.0000  0.0000  0.0000  4 Zn 2.60
Li  0.7500  0.2500  0.5000  4 Zn 2.60
Ca  0.2500  0.7500  0.5000  4 Zn 3.25, 4 Li 3.27
Ca  0.5000  0.5000  0.0000  4 Zn 3.25, 4 Li 3.27
Zn  0.3750  0.1957  0.3207  2 Zn 2.41, 2 Li 2.60
Zn  0.8043  0.1250  0.1793  2 Zn 2.41, 2 Li 2.60
Zn  0.8750  0.0543  0.6793  2 Zn 2.41, 2 Li 2.60
Zn  0.9457  0.6250  0.8207  2 Zn 2.41, 2 Li 2.60

---

2.
Crystalline Li15Ca2Zn2 at its relaxed geometry. Source: the Alexandria database, functional PBE.

Summary:
Formation energy from the elements in kcal/mol of atoms: -0.27

Cell lengths 7.3909, 7.3909, 7.3909 Å; angles 84.03, 84.03, 84.03 degrees
Last column: nearest neighbours and their distance in Å.
Sites, in units of the cell vectors:
Li  0.0000  0.0000  0.5000  8 Li 2.76-2.83, 2 Zn 3.01
Li  0.0000  0.2731  0.7269  8 Li 2.70-3.02
Li  0.0000  0.5000  0.0000  8 Li 2.76-2.83, 2 Zn 3.01
Li  0.0000  0.7269  0.2731  8 Li 2.70-3.02
Li  0.1334  0.6488  0.6488  8 Li 2.83-3.02, 1 Zn 3.05
Li  0.2731  0.0000  0.7269  8 Li 2.70-3.02
Li  0.2731  0.7269  0.0000  8 Li 2.70-3.02
Li  0.3512  0.3512  0.8666  8 Li 2.83-3.02, 1 Zn 3.05
Li  0.3512  0.8666  0.3512  8 Li 2.83-3.02, 1 Zn 3.05
Li  0.5000  0.0000  0.0000  8 Li 2.76-2.83, 2 Zn 3.01
Li  0.6488  0.1334  0.6488  8 Li 2.83-3.02, 1 Zn 3.05
Li  0.6488  0.6488  0.1334  8 Li 2.83-3.02, 1 Zn 3.05
Li  0.7269  0.0000  0.2731  8 Li 2.70-3.02
Li  0.7269  0.2731  0.0000  8 Li 2.70-3.02
Li  0.8666  0.3512  0.3512  8 Li 2.83-3.02, 1 Zn 3.05
Ca  0.3398  0.3398  0.3398  1 Zn 3.40, 15 Li 3.48-3.75
Ca  0.6602  0.6602  0.6602  1 Zn 3.40, 15 Li 3.48-3.75
Zn  0.0981  0.0981  0.0981  1 Zn 2.76, 12 Li 3.01-3.05
Zn  0.9019  0.9019  0.9019  1 Zn 2.76, 12 Li 3.01-3.05

---

3.
Crystalline Li2Ca3Zn3 at its relaxed geometry. Source: the Alexandria database, functional PBE.

Summary:
Formation energy from the elements in kcal/mol of atoms: -4.06

Cell lengths 6.0660, 6.0660, 15.1469 Å; angles 90.00, 90.00, 135.62 degrees
Last column: nearest neighbours and their distance in Å.
Sites, in units of the cell vectors:
Li  0.2193  0.7807  0.5820  4 Zn 2.72-2.88
Li  0.2193  0.7807  0.9180  4 Zn 2.72-2.88
Li  0.7807  0.2193  0.0820  4 Zn 2.72-2.88
Li  0.7807  0.2193  0.4180  4 Zn 2.72-2.88
Ca  0.0812  0.9188  0.1129  6 Zn 3.22-3.29, 4 Li 3.24-3.41
Ca  0.0812  0.9188  0.3871  6 Zn 3.22-3.29, 4 Li 3.24-3.41
Ca  0.3692  0.6308  0.2500  5 Zn 3.17-3.28
Ca  0.6308  0.3692  0.7500  5 Zn 3.17-3.28
Ca  0.9188  0.0812  0.6129  6 Zn 3.22-3.29, 4 Li 3.24-3.41
Ca  0.9188  0.0812  0.8871  6 Zn 3.22-3.29, 4 Li 3.24-3.41
Zn  0.3385  0.6615  0.7500  2 Li 2.88
Zn  0.3996  0.6004  0.0420  1 Zn 2.59, 3 Li 2.72-2.76
Zn  0.3996  0.6004  0.4580  1 Zn 2.59, 3 Li 2.72-2.76
Zn  0.6004  0.3996  0.5420  1 Zn 2.59, 3 Li 2.72-2.76
Zn  0.6004  0.3996  0.9580  1 Zn 2.59, 3 Li 2.72-2.76
Zn  0.6615  0.3385  0.2500  2 Li 2.88

---

4.
Crystalline LiCa4Zn5 at its relaxed geometry. Source: the Alexandria database, functional PBE.

Summary:
Formation energy from the elements in kcal/mol of atoms: -4.68

Cell lengths 3.5529, 3.5529, 18.3067 Å; angles 90.00, 90.00, 90.00 degrees
Last column: nearest neighbours and their distance in Å.
Sites, in units of the cell vectors:
Li  0.0000  0.0000  0.0000  8 Zn 2.86
Ca  0.0000  0.0000  0.1863  8 Zn 3.15-3.24, 1 Li 3.41
Ca  0.0000  0.0000  0.3951  8 Zn 3.16
Ca  0.0000  0.0000  0.6049  8 Zn 3.16
Ca  0.0000  0.0000  0.8137  8 Zn 3.15-3.24, 1 Li 3.41
Zn  0.5000  0.5000  0.0742  1 Zn 2.72, 4 Li 2.86
Zn  0.5000  0.5000  0.2902  8 Ca 3.15-3.16
Zn  0.5000  0.5000  0.5000  8 Ca 3.16
Zn  0.5000  0.5000  0.7098  8 Ca 3.15-3.16
Zn  0.5000  0.5000  0.9258  1 Zn 2.72, 4 Li 2.86

---

5.
Crystalline Li9CaZn2 at its relaxed geometry. Source: the Alexandria database, functional PBE.

Summary:
Formation energy from the elements in kcal/mol of atoms: -1.22

Cell lengths 8.8699, 8.8699, 8.8699 Å; angles 99.93, 99.93, 130.94 degrees
Last column: nearest neighbours and their distance in Å.
Sites, in units of the cell vectors:
Li  0.0654  0.2375  0.4273  2 Zn 2.75, 8 Li 2.79-3.05
Li  0.0654  0.6381  0.8279  2 Zn 2.75, 8 Li 2.79-3.05
Li  0.2375  0.0654  0.9273  2 Zn 2.75, 8 Li 2.79-3.05
Li  0.2375  0.3102  0.1721  2 Zn 2.75, 8 Li 2.79-3.05
Li  0.3102  0.2375  0.6721  2 Zn 2.75, 8 Li 2.79-3.05
Li  0.3102  0.6381  0.0727  2 Zn 2.75, 8 Li 2.79-3.05
Li  0.3619  0.6898  0.4273  2 Zn 2.75, 8 Li 2.79-3.05
Li  0.3619  0.9346  0.6721  2 Zn 2.75, 8 Li 2.79-3.05
Li  0.3750  0.6250  0.7500  4 Zn 3.00, 8 Li 3.01
Li  0.6250  0.3750  0.2500  4 Zn 3.00, 8 Li 3.01
Li  0.6381  0.0654  0.3279  2 Zn 2.75, 8 Li 2.79-3.05
Li  0.6381  0.3102  0.5727  2 Zn 2.75, 8 Li 2.79-3.05
Li  0.6898  0.3619  0.9273  2 Zn 2.75, 8 Li 2.79-3.05
Li  0.6898  0.7625  0.3279  2 Zn 2.75, 8 Li 2.79-3.05
Li  0.7625  0.6898  0.8279  2 Zn 2.75, 8 Li 2.79-3.05
Li  0.7625  0.9346  0.0727  2 Zn 2.75, 8 Li 2.79-3.05
Li  0.9346  0.3619  0.1721  2 Zn 2.75, 8 Li 2.79-3.05
Li  0.9346  0.7625  0.5727  2 Zn 2.75, 8 Li 2.79-3.05
Ca  0.1250  0.8750  0.2500  18 Li 3.53-3.72
Ca  0.8750  0.1250  0.7500  18 Li 3.53-3.72
Zn  0.0000  0.5000  0.5000  10 Li 2.75-3.00
Zn  0.5000  0.0000  0.0000  10 Li 2.75-3.00
Zn  0.5000  0.5000  0.0000  10 Li 2.75-3.00
Zn  0.5000  0.5000  0.5000  10 Li 2.75-3.00

---

6.
Crystalline Li3CaZn at its relaxed geometry. Source: the Alexandria database, functional PBE.

Summary:
Formation energy from the elements in kcal/mol of atoms: 20.00

Cell lengths 5.6990, 5.6990, 5.6990 Å; angles 90.00, 90.00, 90.00 degrees
Last column: nearest neighbours and their distance in Å.
Sites, in units of the cell vectors:
Li  0.0000  0.0000  0.5000  2 Ca 2.85
Li  0.0000  0.5000  0.0000  2 Ca 2.85
Li  0.5000  0.0000  0.0000  2 Ca 2.85
Ca  0.0000  0.0000  0.0000  6 Li 2.85
Zn  0.5000  0.5000  0.5000  12 Li 4.03

---

> Look up the formation energy from the elements of the sixth one.

20.00 kcal/mol of atoms

---

> What is the formula in the fifth record?

Li9CaZn2